1.
SrHo2Zn after structural relaxation, computed with GGA-PBE.

Summary:
density of states at the Fermi level	5.118	states/eV/f.u.
energy above the most stable polymorph in this dataset	0	meV per atom

a b c (Å): 3.650 3.650 9.373
angles (deg): 90.00 90.00 90.00
Element x y z (fractional)
Sr: 0.000 0.000 0.000
Ho: 0.500 0.500 0.323
Ho: 0.500 0.500 0.677
Zn: 0.000 0.000 0.500



2.
SrHo2Zn after structural relaxation, computed with GGA-PBE.

Summary:
density of states at the Fermi level	4.558	states/eV/f.u.
energy above the most stable polymorph in this dataset	223	meV per atom

a b c (Å): 11.483 11.483 11.483
angles (deg): 18.37 18.37 18.37
Element x y z (fractional)
Sr: 0.000 0.000 0.000
Ho: 0.105 0.105 0.105
Ho: 0.895 0.895 0.895
Zn: 0.500 0.500 0.500



3.
SrHo2Zr after structural relaxation, computed with GGA-PBE.

Summary:
density of states at the Fermi level	5.847	states/eV/f.u.

a b c (Å): 12.407 12.407 12.407
angles (deg): 16.21 16.21 16.21
Element x y z (fractional)
Sr: 0.000 0.000 0.000
Ho: 0.096 0.096 0.096
Ho: 0.904 0.904 0.904
Zr: 0.500 0.500 0.500



4.
HoTa4 after structural relaxation, computed with GGA-PBE.

Summary:
density of states at the Fermi level	2.688	states/eV/f.u.

a b c (Å): 4.824 4.824 4.824
angles (deg): 90.00 90.00 90.00
Element x y z (fractional)
Ho: 0.000 0.000 0.000
Ta: 0.000 0.000 0.500
Ta: 0.000 0.500 0.000
Ta: 0.500 0.000 0.000
Ta: 0.500 0.500 0.500



no.,total magnetic moment (μB per formula unit),ΔE_f (meV per atom)
1,0.00,-56
2,0.00,167
3,0.00,271
4,0.00,2362